Computed, not measured: a PBEsol-optimized structure of Li2BPH at the meta-GGA SCAN level of DFT.

Unit cell a=3.1806 b=4.6690 c=4.6690 alpha=90.00 beta=90.00 gamma=90.00
Site moments in Bohr magnetons follow the coordinates.
Atoms (fractional coordinates):
B  0.5000  0.5000  0.5000  -0.33
Li  0.0000  0.5000  0.0000  -0.01
H  0.5000  0.0000  0.0000  0.00
P  0.0000  0.0000  0.0000  0.03
Li  0.0000  0.0000  0.5000  -0.01

Electronic total energy = -4.449 eV/atom
DOS at the Fermi energy = 1.9 states/eV/f.u.
Total magnetic moment = 0.88 μB per cell
SG = P4/mmm